A plane-wave DFT calculation with PBE-GGA was carried out for a geometry-optimized TaTeAs2 structure.

```
data_TaTeAs2
_chemical_formula_sum 'Ta2 Te2 As4'
_cell_length_a 9.128
_cell_length_b 3.460
_cell_length_c 5.435
_cell_angle_alpha 90.00
_cell_angle_beta 97.59
_cell_angle_gamma 90.00
_symmetry_space_group_name_H-M 'C 1 2/m 1'
_symmetry_Int_Tables_number 12
_symmetry_space_group_name_Hall '-C 2y'
loop_
_atom_site_label
_atom_site_type_symbol
_atom_site_fract_x
_atom_site_fract_y
_atom_site_fract_z
Ta1 Ta 0.000 0.000 0.000
Te1 Te 0.000 0.500 0.500
As1 As 0.218 0.500 0.176
```

electronic total energy = -5.96 eV/atom
uncorrected formation energy = 0.1114 eV/atom

---

A plane-wave DFT calculation with PBE-GGA was carried out for a geometry-optimized Ba2YAgSb structure.

```
data_Ba2YAgSb
_chemical_formula_sum 'Ba2 Y1 Ag1 Sb1'
_cell_length_a 6.472
_cell_length_b 6.472
_cell_length_c 5.301
_cell_angle_alpha 90.00
_cell_angle_beta 90.00
_cell_angle_gamma 90.00
_symmetry_space_group_name_H-M 'P 4/m m m'
_symmetry_Int_Tables_number 123
_symmetry_space_group_name_Hall '-P 4 2'
loop_
_atom_site_label
_atom_site_type_symbol
_atom_site_fract_x
_atom_site_fract_y
_atom_site_fract_z
Ba1 Ba 0.000 0.500 0.000
Y1 Y 0.000 0.000 0.000
Ag1 Ag 0.000 0.000 0.500
Sb1 Sb 0.500 0.500 0.500
```

electronic total energy = -2.98 eV/atom
uncorrected formation energy = 0.4734 eV/atom

---

A plane-wave DFT calculation with PBE-GGA was carried out for a geometry-optimized Pr2TlI8 structure.

```
data_Pr2TlI8
_chemical_formula_sum 'Pr4 Tl2 I16'
_cell_length_a 13.184
_cell_length_b 10.024
_cell_length_c 8.346
_cell_angle_alpha 90.00
_cell_angle_beta 103.87
_cell_angle_gamma 90.00
_symmetry_space_group_name_H-M 'C 1 2/m 1'
_symmetry_Int_Tables_number 12
_symmetry_space_group_name_Hall '-C 2y'
loop_
_atom_site_label
_atom_site_type_symbol
_atom_site_fract_x
_atom_site_fract_y
_atom_site_fract_z
Pr1 Pr 0.196 0.000 0.439
Tl1 Tl 0.000 0.500 0.000
I1 I 0.067 0.000 0.719
I2 I 0.124 0.309 0.354
I3 I 0.241 0.500 0.895
```

electronic total energy = -3.28 eV/atom
uncorrected formation energy = -1.0681 eV/atom

---

A plane-wave DFT calculation with PBE-GGA was carried out for a geometry-optimized Li3Ni4As4 structure.

```
data_Li3Ni4As4
_chemical_formula_sum 'Li6 Ni8 As8'
_cell_length_a 3.850
_cell_length_b 6.652
_cell_length_c 12.296
_cell_angle_alpha 90.00
_cell_angle_beta 90.00
_cell_angle_gamma 90.00
_symmetry_space_group_name_H-M 'I m m m'
_symmetry_Int_Tables_number 71
_symmetry_space_group_name_Hall '-I 2 2'
loop_
_atom_site_label
_atom_site_type_symbol
_atom_site_fract_x
_atom_site_fract_y
_atom_site_fract_z
Li1 Li 0.000 0.000 0.000
Li2 Li 0.000 0.500 0.119
Ni1 Ni 0.000 0.306 0.323
As1 As 0.000 0.000 0.227
As2 As 0.000 0.187 0.500
```

formation enthalpy at 0 K = -0.47 eV per atom
electronic total energy = -4.79 eV/atom

---

A plane-wave DFT calculation with PBE-GGA was carried out for a geometry-optimized Ti5Fe2Pd2Rh structure.

```
data_Ti5Fe2Pd2Rh
_chemical_formula_sum 'Ti10 Fe4 Pd4 Rh2'
_cell_length_a 10.177
_cell_length_b 10.177
_cell_length_c 2.954
_cell_angle_alpha 90.00
_cell_angle_beta 90.00
_cell_angle_gamma 90.00
_symmetry_space_group_name_H-M 'P 4/m b m'
_symmetry_Int_Tables_number 127
_symmetry_space_group_name_Hall '-P 4 2ab'
loop_
_atom_site_label
_atom_site_type_symbol
_atom_site_fract_x
_atom_site_fract_y
_atom_site_fract_z
Ti1 Ti 0.000 0.500 0.000
Ti2 Ti 0.085 0.198 0.000
Fe1 Fe 0.129 0.371 0.500
Pd1 Pd 0.168 0.668 0.500
Rh1 Rh 0.000 0.000 0.500
```

formation enthalpy at 0 K = -0.32 eV per atom
electronic total energy = -7.74 eV/atom

---

A plane-wave DFT calculation with PBE-GGA was carried out for a geometry-optimized YAg5 structure.

```
data_YAg5
_chemical_formula_sum 'Y1 Ag5'
_cell_length_a 3.569
_cell_length_b 3.569
_cell_length_c 9.444
_cell_angle_alpha 90.00
_cell_angle_beta 90.00
_cell_angle_gamma 90.00
_symmetry_space_group_name_H-M 'P 4/m m m'
_symmetry_Int_Tables_number 123
_symmetry_space_group_name_Hall '-P 4 2'
loop_
_atom_site_label
_atom_site_type_symbol
_atom_site_fract_x
_atom_site_fract_y
_atom_site_fract_z
Y1 Y 0.000 0.000 0.000
Ag1 Ag 0.000 0.000 0.344
Ag2 Ag 0.500 0.500 0.189
Ag3 Ag 0.500 0.500 0.500
```

formation enthalpy at 0 K = -0.09 eV per atom
electronic total energy = -3.55 eV/atom

---

A plane-wave DFT calculation with PBE-GGA was carried out for a geometry-optimized Hf4CoB structure.

```
data_Hf4CoB
_chemical_formula_sum 'Hf16 Co4 B4'
_cell_length_a 8.027
_cell_length_b 8.027
_cell_length_c 7.226
_cell_angle_alpha 90.00
_cell_angle_beta 90.00
_cell_angle_gamma 90.00
_symmetry_space_group_name_H-M 'I 41 m d'
_symmetry_Int_Tables_number 109
_symmetry_space_group_name_Hall 'I 4bw -2'
loop_
_atom_site_label
_atom_site_type_symbol
_atom_site_fract_x
_atom_site_fract_y
_atom_site_fract_z
Hf1 Hf 0.000 0.294 0.000
Hf2 Hf 0.000 0.299 0.470
Co1 Co 0.000 0.000 0.490
B1 B 0.000 0.000 0.981
```

formation enthalpy at 0 K = -0.08 eV per atom
electronic total energy = -9.01 eV/atom

---

A plane-wave DFT calculation with PBE-GGA was carried out for a geometry-optimized VSnH structure.

```
data_VSnH
_chemical_formula_sum 'V4 Sn4 H4'
_cell_length_a 4.910
_cell_length_b 4.909
_cell_length_c 7.883
_cell_angle_alpha 90.00
_cell_angle_beta 90.16
_cell_angle_gamma 90.00
_symmetry_space_group_name_H-M 'C 1 2/m 1'
_symmetry_Int_Tables_number 12
_symmetry_space_group_name_Hall '-C 2y'
loop_
_atom_site_label
_atom_site_type_symbol
_atom_site_fract_x
_atom_site_fract_y
_atom_site_fract_z
V1 V 0.000 0.250 0.000
Sn1 Sn 0.249 0.000 0.693
H1 H 0.250 0.000 0.097
```

electronic total energy = -5.42 eV/atom
E above lowest polymorph = 56 meV/atom

---

A plane-wave DFT calculation with PBE-GGA was carried out for a geometry-optimized NaAg6Au3 structure.

```
data_NaAg6Au3
_chemical_formula_sum 'Na4 Ag24 Au12'
_cell_length_a 9.683
_cell_length_b 14.236
_cell_length_c 5.679
_cell_angle_alpha 90.00
_cell_angle_beta 90.00
_cell_angle_gamma 90.00
_symmetry_space_group_name_H-M 'C m c 21'
_symmetry_Int_Tables_number 36
_symmetry_space_group_name_Hall 'C 2c -2'
loop_
_atom_site_label
_atom_site_type_symbol
_atom_site_fract_x
_atom_site_fract_y
_atom_site_fract_z
Na1 Na 0.000 0.175 0.000
Ag1 Ag 0.000 0.010 0.287
Ag2 Ag 0.000 0.233 0.502
Ag3 Ag 0.146 0.415 0.493
Ag4 Ag 0.243 0.260 0.770
Au1 Au 0.000 0.394 0.947
Au2 Au 0.214 0.084 0.553
```

formation enthalpy at 0 K = 0.05 eV per atom
electronic total energy = -2.78 eV/atom

---

A plane-wave DFT calculation with PBE-GGA was carried out for a geometry-optimized ZrTa5Re6 structure.

```
data_ZrTa5Re6
_chemical_formula_sum 'Zr2 Ta10 Re12'
_cell_length_a 4.549
_cell_length_b 6.435
_cell_length_c 13.641
_cell_angle_alpha 90.00
_cell_angle_beta 90.00
_cell_angle_gamma 90.00
_symmetry_space_group_name_H-M 'I m m m'
_symmetry_Int_Tables_number 71
_symmetry_space_group_name_Hall '-I 2 2'
loop_
_atom_site_label
_atom_site_type_symbol
_atom_site_fract_x
_atom_site_fract_y
_atom_site_fract_z
Zr1 Zr 0.000 0.000 0.000
Ta1 Ta 0.000 0.000 0.334
Ta2 Ta 0.000 0.500 0.000
Ta3 Ta 0.000 0.500 0.332
Re1 Re 0.000 0.245 0.500
Re2 Re 0.000 0.252 0.169
```

formation enthalpy at 0 K = -0.39 eV per atom
electronic total energy = -12.26 eV/atom

---

A plane-wave DFT calculation with PBE-GGA was carried out for a geometry-optimized LiHg2Ru structure.

```
data_LiHg2Ru
_chemical_formula_sum 'Li4 Hg8 Ru4'
_cell_length_a 6.534
_cell_length_b 6.534
_cell_length_c 6.534
_cell_angle_alpha 90.00
_cell_angle_beta 90.00
_cell_angle_gamma 90.00
_symmetry_space_group_name_H-M 'F m -3 m'
_symmetry_Int_Tables_number 225
_symmetry_space_group_name_Hall '-F 4 2 3'
loop_
_atom_site_label
_atom_site_type_symbol
_atom_site_fract_x
_atom_site_fract_y
_atom_site_fract_z
Li1 Li 0.000 0.000 0.000
Hg1 Hg 0.250 0.250 0.250
Ru1 Ru 0.000 0.000 0.500
```

formation enthalpy at 0 K = 0.15 eV per atom
electronic total energy = -2.79 eV/atom
E above lowest polymorph = 96 meV/atom

---

A plane-wave DFT calculation with PBE-GGA was carried out for a geometry-optimized Th6TlC3S2 structure.

```
data_Th6TlC3S2
_chemical_formula_sum 'Th12 Tl2 C6 S4'
_cell_length_a 17.950
_cell_length_b 3.852
_cell_length_c 8.359
_cell_angle_alpha 90.00
_cell_angle_beta 108.65
_cell_angle_gamma 90.00
_symmetry_space_group_name_H-M 'C 1 2/m 1'
_symmetry_Int_Tables_number 12
_symmetry_space_group_name_Hall '-C 2y'
loop_
_atom_site_label
_atom_site_type_symbol
_atom_site_fract_x
_atom_site_fract_y
_atom_site_fract_z
Th1 Th 0.010 0.000 0.211
Th2 Th 0.160 0.500 0.101
Th3 Th 0.180 0.500 0.559
Tl1 Tl 0.000 0.500 0.500
C1 C 0.000 0.500 0.000
C2 C 0.169 0.000 0.325
S1 S 0.168 0.000 0.833
```

electronic total energy = -7.68 eV/atom
uncorrected formation energy = -0.7829 eV/atom

---

> Which value of electronic total energy does entry 3 give?

-3.28 eV/atom